No. 1
Ti3ZnN: optimized geometry, PBE-GGA.

Total energy, eV/atom: -7.288
Energy above the lowest structure with this stoichiometry, meV/atom: 268

a b c (Å): 18.1063 5.3519 7.3391
angles (deg): 90.00 157.04 90.00
Last column: nearest neighbours and their distance in Å.
Sites, in units of the cell vectors:
1 Zn 0.4166 0.7501 0.4166  9 Ti 2.62-2.80
2 Zn 0.5834 0.2499 0.5834  9 Ti 2.62-2.80
3 Zn 0.0834 0.2501 0.0834  9 Ti 2.62-2.80
4 Zn 0.9166 0.7499 0.9166  9 Ti 2.62-2.80
5 N 0.1194 0.3659 0.6194  4 Ti 2.02-2.10
6 N 0.8806 0.6341 0.3806  4 Ti 2.02-2.10
7 N 0.3806 0.8659 0.8806  4 Ti 2.02-2.10
8 N 0.6194 0.1341 0.1194  4 Ti 2.02-2.10
9 Ti 0.2228 0.0456 0.7228  2 N 2.08-2.10
10 Ti 0.7772 0.9544 0.2772  2 N 2.08-2.10
11 Ti 0.2772 0.5456 0.7772  2 N 2.08-2.10
12 Ti 0.7228 0.4544 0.2228  2 N 2.08-2.10
13 Ti 0.3486 0.2501 0.3486  2 N 2.31
14 Ti 0.6514 0.7499 0.6514  2 N 2.31
15 Ti 0.1514 0.7501 0.1514  2 N 2.31
16 Ti 0.8486 0.2499 0.8486  2 N 2.31
17 Ti 0.5484 0.7783 0.0484  2 N 2.02-2.08
18 Ti 0.4516 0.2217 0.9516  2 N 2.02-2.08
19 Ti 0.9516 0.2783 0.4516  2 N 2.02-2.08
20 Ti 0.0484 0.7217 0.5484  2 N 2.02-2.08

No. 2
PmHoSb2: optimized geometry, PBE-GGA.

Total energy, eV/atom: -5.541
Energy above the lowest structure with this stoichiometry, meV/atom: 0

a b c (Å): 4.4339 4.4339 7.6681
angles (deg): 89.96 106.83 120.03
Last column: nearest neighbours and their distance in Å.
Sites, in units of the cell vectors:
1 Pm 0.0000 0.5000 0.5000  6 Sb 3.17
2 Ho 0.0000 0.0000 0.0000  6 Sb 3.10
3 Sb 0.5055 0.2528 0.7583  3 Ho 3.10, 3 Pm 3.17
4 Sb 0.4945 0.7473 0.2418  3 Ho 3.10, 3 Pm 3.17